(1)
The following is a PBE calculation of a relaxed RbLaAl2Cu crystal, from Alexandria via LeMat-Bulk.

Cell lengths 5.539, 5.685, 5.539 Å; angles 90.00, 90.00, 90.00 degrees
Positions (direct):
Cu: 0.500 0.500 0.500
Al: 0.000 0.000 0.500
Al: 0.500 0.000 0.000
Rb: 0.000 0.000 0.000
La: 0.000 0.500 0.000

## Properties
- ΔE to the lowest computed polymorph (meV per atom) = 948
- total magnetic moment (μB per formula unit) = 0.0
- volume (Å³/atom) = 34.88
- N(E_F) (states/eV/cell) = 6.307



(2)
The following is a PBE calculation of a relaxed La2Al4CuRh3 crystal, from Alexandria via LeMat-Bulk.

Cell lengths 4.305, 4.305, 10.318 Å; angles 90.00, 90.00, 90.00 degrees
Positions (direct):
Al: 0.500 0.000 0.622
Al: 0.000 0.500 0.378
Al: 0.500 0.500 0.000
Al: 0.000 0.000 0.000
La: 0.000 0.500 0.745
La: 0.500 0.000 0.255
Rh: 0.500 0.000 0.870
Rh: 0.000 0.500 0.130
Rh: 0.000 0.000 0.500
Cu: 0.500 0.500 0.500

## Properties
- calculated total energy (eV per cell) = -58.48
- total magnetic moment (μB per formula unit) = 0.0
- volume (Å³/atom) = 19.12
- N(E_F) (states/eV/cell) = 6.740



(3)
The following is a PBE calculation of a relaxed La2AlCuS5 crystal, from Alexandria via LeMat-Bulk.

Cell lengths 3.998, 8.843, 11.155 Å; angles 90.00, 90.00, 103.07 degrees
Positions (direct):
Cu: 0.246 0.492 0.093
Cu: 0.754 0.508 0.593
S: 0.642 0.284 0.492
S: 0.694 0.387 0.827
S: 0.306 0.613 0.327
S: 0.958 0.917 0.544
S: 0.042 0.083 0.044
S: 0.358 0.716 0.992
S: 0.508 0.016 0.790
S: 0.492 0.984 0.290
S: 0.311 0.623 0.633
S: 0.689 0.377 0.133
La: 0.887 0.774 0.179
La: 0.120 0.239 0.299
La: 0.113 0.226 0.679
La: 0.880 0.761 0.799
Al: 0.594 0.189 0.967
Al: 0.406 0.811 0.467

## Properties
- total magnetic moment (μB per formula unit) = 0.0
- volume (Å³/atom) = 21.34
- formation energy from raw total energies (eV per atom) = -1.556



(4)
The following is a PBE calculation of a relaxed LaSc2AlCu4 crystal, from Alexandria via LeMat-Bulk.

Cell lengths 4.483, 4.483, 9.064 Å; angles 75.68, 75.68, 60.00 degrees
Positions (direct):
La: 0.000 0.000 0.000
Cu: 0.405 0.405 0.784
Cu: 0.123 0.123 0.630
Cu: 0.877 0.877 0.370
Cu: 0.595 0.595 0.216
Sc: 0.232 0.232 0.305
Sc: 0.768 0.768 0.695
Al: 0.500 0.500 0.500

## Properties
- calculated total energy (eV per cell) = -39.63
- total magnetic moment (μB per formula unit) = 0.0
- volume (Å³/atom) = 18.90
- N(E_F) (states/eV/cell) = 5.073



Question: Which of these has the highest volume?
Answer: RbLaAl2Cu